Here is an optimized crystal structure of Li2YBr from the Alexandria database. Energies are from PBE.

Results
Calculated total energy: -3.339 eV per atom
E above lowest polymorph: 0.187 eV/atom
ΔE_f (raw): -0.348 eV per atom

Lattice parameters (Å, degrees): 8.221 8.221 5.805 90.00 90.00 90.00
Space group I-42d (No. 122)
Unique sites:
1 Li 0.187 0.250 0.125 (multiplicity 8)
2 Y 0.000 0.000 0.500 (multiplicity 4)
3 Br 0.000 0.000 0.000 (multiplicity 4)

=====

Here is an optimized crystal structure of PuMgTiO6 from the Alexandria database. Energies are from PBE.

Results
Calculated total energy: -8.599 eV per atom
ΔE_f (raw): -2.646 eV per atom

Lattice parameters (Å, degrees): 5.3134 5.3134 9.0175 90.00 90.00 120.00
Space group P-31c (No. 163)
Unique sites:
1 Pu 0.3333 0.6667 0.2500 (multiplicity 2)
2 Mg 0.0000 0.0000 0.0000 (multiplicity 2)
3 Ti 0.3333 0.6667 0.7500 (multiplicity 2)
4 O 0.0119 0.3535 0.6341 (multiplicity 12)

=====

Here is an optimized crystal structure of Tm2Tc from the Alexandria database. Energies are from PBE.

Results
Energy of formation: -0.3 eV/f.u.
Calculated total energy: -6.535 eV per atom
E above lowest polymorph: 0.011 eV/atom

Lattice parameters (Å, degrees): 7.874 3.730 9.545 90.00 90.00 90.00
Space group Pnma (No. 62)
Unique sites:
1 Tm 0.002 0.250 0.171 (multiplicity 4)
2 Tm 0.157 0.750 0.444 (multiplicity 4)
3 Tc 0.202 0.250 0.667 (multiplicity 4)

=====

Here is an optimized crystal structure of BeCoCu2 from the Alexandria database. Energies are from PBE.

Results
Energy of formation: 0.1 eV/f.u.
Calculated total energy: -4.720 eV per atom

Lattice parameters (Å, degrees): 2.898 3.746 3.881 90.00 90.00 90.00
Space group Pmmm (No. 47)
Unique sites:
1 Be 0.000 0.000 0.000 (multiplicity 1)
2 Co 0.500 0.500 0.000 (multiplicity 1)
3 Cu 0.000 0.500 0.500 (multiplicity 1)
4 Cu 0.500 0.000 0.500 (multiplicity 1)

=====

Here is an optimized crystal structure of H2AuN from the Alexandria database. Energies are from PBE.

Results
Calculated total energy: -4.047 eV per atom
E above lowest polymorph: 0.495 eV/atom

Lattice parameters (Å, degrees): 3.529 3.972 3.691 90.00 98.76 90.00
Space group Pm (No. 6)
Unique sites:
1 H 0.000 0.000 0.000 (multiplicity 1)
2 H 0.253 0.500 0.266 (multiplicity 1)
3 Au 0.506 0.000 0.021 (multiplicity 1)
4 N 0.459 0.500 0.096 (multiplicity 1)

=====

Here is an optimized crystal structure of HoCoS from the Alexandria database. Energies are from PBE.

Results
Calculated total energy: -6.267 eV per atom
ΔE_f (raw): -0.996 eV per atom

Lattice parameters (Å, degrees): 5.286 5.206 8.117 90.00 91.00 90.00
Space group C2/m (No. 12)
Unique sites:
1 Ho 0.239 0.000 0.277 (multiplicity 4)
2 Co 0.197 0.500 0.055 (multiplicity 4)
3 S 0.244 0.500 0.353 (multiplicity 4)

=====

Here is an optimized crystal structure of TlCuRu2 from the Alexandria database. Energies are from PBE.

Results
Energy of formation: 2.4 eV/f.u.
Calculated total energy: -5.647 eV per atom
E above lowest polymorph: 0.230 eV/atom

Lattice parameters (Å, degrees): 3.937 3.937 4.122 90.00 90.00 90.00
Space group P4/mmm (No. 123)
Unique sites:
1 Tl 0.000 0.000 0.000 (multiplicity 1)
2 Cu 0.500 0.500 0.000 (multiplicity 1)
3 Ru 0.000 0.500 0.500 (multiplicity 2)

=====

Here is an optimized crystal structure of Ca3In3Pd2 from the Alexandria database. Energies are from PBE.

Results
Energy of formation: -4.8 eV/f.u.
Calculated total energy: -3.678 eV per atom

Lattice parameters (Å, degrees): 8.178 16.730 5.947 90.00 90.00 90.00
Space group Pnma (No. 62)
Unique sites:
1 Ca 0.036 0.110 0.107 (multiplicity 8)
2 Ca 0.172 0.250 0.640 (multiplicity 4)
3 In 0.167 0.750 0.639 (multiplicity 4)
4 In 0.180 0.036 0.600 (multiplicity 8)
5 Pd 0.115 0.613 0.391 (multiplicity 8)

=====

Here is an optimized crystal structure of NpZn2CdAu2 from the Alexandria database. Energies are from PBE.

Results
Energy of formation: -0.8 eV/f.u.
Calculated total energy: -3.956 eV per atom

Lattice parameters (Å, degrees): 4.5695 4.5695 6.6905 90.00 90.00 120.00
Space group P-3m1 (No. 164)
Unique sites:
1 Np 0.0000 0.0000 0.0000 (multiplicity 1)
2 Zn 0.3333 0.6667 0.7170 (multiplicity 2)
3 Cd 0.0000 0.0000 0.5000 (multiplicity 1)
4 Au 0.3333 0.6667 0.2515 (multiplicity 2)

=====

Here is an optimized crystal structure of TePt2Se from the Alexandria database. Energies are from PBE.

Results
Calculated total energy: -4.739 eV per atom
E above lowest polymorph: 0.249 eV/atom
ΔE_f (raw): -0.062 eV per atom

Lattice parameters (Å, degrees): 3.524 3.524 6.989 90.00 90.00 90.00
Space group P4mm (No. 99)
Unique sites:
1 Te 0.000 0.000 0.000 (multiplicity 1)
2 Pt 0.000 0.000 0.402 (multiplicity 1)
3 Pt 0.500 0.500 0.172 (multiplicity 1)
4 Se 0.500 0.500 0.539 (multiplicity 1)

=====

Here is an optimized crystal structure of SrLi4Ge from the Alexandria database. Energies are from PBE.

Results
Energy of formation: -0.8 eV/f.u.
Calculated total energy: -2.453 eV per atom

Lattice parameters (Å, degrees): 7.911 7.911 7.911 90.00 90.00 90.00
Space group F-43m (No. 216)
Unique sites:
1 Sr 0.000 0.000 0.000 (multiplicity 4)
2 Li 0.123 0.123 0.623 (multiplicity 16)
3 Ge 0.250 0.250 0.250 (multiplicity 4)

=====

Here is an optimized crystal structure of CaZn2Te from the Alexandria database. Energies are from PBE.

Results
Calculated total energy: -2.303 eV per atom
ΔE_f (raw): -0.380 eV per atom

Lattice parameters (Å, degrees): 4.358 5.429 4.472 90.00 90.80 90.00
Space group P2/m (No. 10)
Unique sites:
1 Ca 0.000 0.000 0.000 (multiplicity 1)
2 Zn 0.297 0.500 0.772 (multiplicity 2)
3 Te 0.500 0.000 0.500 (multiplicity 1)

=====

Number 1: total magnetic moment 0.000 Bohr magnetons per cell. Number 2: total magnetic moment 4.000 Bohr magnetons per cell. Number 3: total magnetic moment 0.000 Bohr magnetons per cell. Number 4: total magnetic moment 0.000 Bohr magnetons per cell. Number 5: total magnetic moment 0.526 Bohr magnetons per cell. Number 6: total magnetic moment 6.102 Bohr magnetons per cell. Number 7: total magnetic moment 2.895 Bohr magnetons per cell. Number 8: total magnetic moment 0.000 Bohr magnetons per cell. Number 9: total magnetic moment 4.282 Bohr magnetons per cell. Number 10: total magnetic moment 0.000 Bohr magnetons per cell. Number 11: total magnetic moment 0.000 Bohr magnetons per cell. Number 12: total magnetic moment 0.000 Bohr magnetons per cell.